A geometry-optimized Sr2Li2UN4 structure. Source: Alexandria via LeMat-Bulk, functional PBE-GGA.

Values from the calculation:
calculated total energy = -6.662 eV/atom
formation energy (no corrections) = -0.9084 eV per atom
V = 248.81 Å³/cell

```
data_Sr2Li2UN4
_chemical_formula_sum 'Sr4 Li4 U2 N8'
_cell_length_a 12.346
_cell_length_b 3.519
_cell_length_c 6.195
_cell_angle_alpha 90.00
_cell_angle_beta 112.40
_cell_angle_gamma 90.00
_symmetry_space_group_name_H-M 'C 1 2/m 1'
_symmetry_Int_Tables_number 12
_symmetry_space_group_name_Hall '-C 2y'
loop_
_atom_site_label
_atom_site_type_symbol
_atom_site_fract_x
_atom_site_fract_y
_atom_site_fract_z
Sr1 Sr 0.144 0.000 0.075
Li1 Li 0.182 0.500 0.489
U1 U 0.000 0.000 0.500
N1 N 0.014 0.500 0.281
N2 N 0.191 0.000 0.672
```